# 1
A geometry-optimized LaNiSnAu structure, computed with GGA-PBE.

Structure (extended XYZ):
```
4
Lattice="4.966 0.000 0.000 2.483 4.301 0.000 2.483 1.434 4.055" Properties=species:S:1:pos:R:3 pbc="T T T"
Ni 4.966 2.867 2.027
Au 0.000 0.000 0.000
Sn 7.449 4.301 3.041
La 2.483 1.434 1.014
```

Computed properties:
Energy relative to the elements, meV per atom: -460
Energy, eV per cell: -19.828
Total magnetic moment, μB per formula unit: 0.00
Space group: F-43m, No. 216

# 2
A geometry-optimized La2NiSn4Au3 structure, computed with GGA-PBE.

Structure (extended XYZ):
```
10
Lattice="-1.947 1.872 3.730 1.990 -3.201 2.645 9.089 6.764 1.350" Properties=species:S:1:pos:R:3 pbc="T T T"
La 1.503 2.779 2.233
La 7.607 3.320 2.305
Ni 4.566 2.717 3.862
Sn 0.021 -0.665 3.187
Sn 0.000 0.000 0.000
Sn 4.663 5.131 2.702
Sn 4.447 0.968 1.835
Au 4.544 3.382 0.675
Au 6.793 6.716 3.018
Au 2.317 -0.617 1.519
```

Computed properties:
Energy relative to the elements, meV per atom: -579
Energy, eV per cell: -47.271
Total magnetic moment, μB per formula unit: 0.00
Space group: P-4m2, No. 115

# 3
A geometry-optimized La2Ni3Sn4Au structure, computed with GGA-PBE.

Structure (extended XYZ):
```
10
Lattice="-2.405 3.504 1.640 1.128 -1.212 4.244 8.469 6.059 -0.521" Properties=species:S:1:pos:R:3 pbc="T T T"
La 0.942 3.286 0.688
La 6.889 3.919 1.733
Ni 4.235 3.029 -0.261
Ni 6.267 7.096 0.360
Ni 1.564 0.109 2.060
Sn -0.639 1.146 2.942
Sn 0.000 0.000 0.000
Sn 4.228 5.637 0.486
Sn 3.603 1.568 1.935
Au 3.596 4.175 2.681
```

Computed properties:
Energy relative to the elements, meV per atom: -584
Energy, eV per cell: -52.327
Total magnetic moment, μB per formula unit: 0.00
Space group: P-4m2, No. 115

# 4
A geometry-optimized SrLaNiAu structure, computed with GGA-PBE.

Structure (extended XYZ):
```
4
Lattice="5.238 0.000 0.000 2.619 4.536 0.000 2.619 1.512 4.277" Properties=species:S:1:pos:R:3 pbc="T T T"
Ni 2.619 1.512 1.069
Sr 5.238 3.024 2.138
Au 7.857 4.536 3.208
La 0.000 0.000 0.000
```

Computed properties:
Energy relative to the elements, meV per atom: -370
Energy, eV per cell: -17.148
Total magnetic moment, μB per formula unit: 0.00
Space group: F-43m, No. 216

# 5
A geometry-optimized LaThNiAu structure, computed with GGA-PBE.

Structure (extended XYZ):
```
4
Lattice="5.169 0.000 0.000 2.584 4.476 0.000 2.584 1.492 4.220" Properties=species:S:1:pos:R:3 pbc="T T T"
Ni 2.584 1.492 1.055
Au 7.753 4.476 3.165
Th 5.169 2.984 2.110
La 0.000 0.000 0.000
```

Computed properties:
Energy relative to the elements, meV per atom: -386
Energy, eV per cell: -22.948
Total magnetic moment, μB per formula unit: 0.00
Space group: F-43m, No. 216

# 6
A geometry-optimized LaTlNiAu structure, computed with GGA-PBE.

Structure (extended XYZ):
```
4
Lattice="5.012 0.000 0.000 2.506 4.340 0.000 2.506 1.447 4.092" Properties=species:S:1:pos:R:3 pbc="T T T"
Ni 2.506 1.447 1.023
Tl 5.012 2.894 2.046
Au 7.518 4.340 3.069
La 0.000 0.000 0.000
```

Computed properties:
Energy relative to the elements, meV per atom: -287
Energy, eV per cell: -17.502
Total magnetic moment, μB per formula unit: 0.00
Space group: F-43m, No. 216

# 7
A geometry-optimized La2ZnNiAu structure, computed with GGA-PBE.

Structure (extended XYZ):
```
10
Lattice="-2.675 3.530 0.493 -1.803 -2.340 6.981 5.979 4.536 -0.031" Properties=species:S:1:pos:R:3 pbc="T T T"
La 0.289 3.543 6.413
La -3.055 1.160 5.335
La 1.213 2.182 1.031
La 4.556 4.565 2.108
Zn 2.342 2.616 4.053
Zn -0.841 3.109 3.390
Ni 3.222 2.952 6.420
Ni -1.721 2.773 1.023
Au 0.139 0.840 4.811
Au 1.362 4.885 2.633
```

Computed properties:
Energy relative to the elements, meV per atom: -544
Energy, eV per cell: -45.813
Total magnetic moment, μB per formula unit: 0.00
Space group: P2_1/m, No. 11
Distance to the lowest polymorph of the same formula, kJ/mol of atoms: 0.0

# 8
A geometry-optimized La2ZnNiAu structure, computed with GGA-PBE.

Structure (extended XYZ):
```
5
Lattice="5.336 0.000 0.000 0.000 5.336 0.000 0.000 0.000 4.555" Properties=species:S:1:pos:R:3 pbc="T T T"
Ni 0.000 0.000 0.000
Zn 0.000 0.000 2.278
Au 2.668 2.668 2.278
La 0.000 2.668 0.000
La 2.668 0.000 0.000
```

Computed properties:
Energy relative to the elements, meV per atom: -373
Energy, eV per cell: -22.054
Total magnetic moment, μB per formula unit: 0.00
Space group: P4/mmm, No. 123
Distance to the lowest polymorph of the same formula, kJ/mol of atoms: 16.5

# 9
A geometry-optimized LaNpAu4 structure, computed with GGA-PBE.

Structure (extended XYZ):
```
6
Lattice="5.745 0.000 0.000 2.872 4.975 0.000 2.872 1.658 4.690" Properties=species:S:1:pos:R:3 pbc="T T T"
Np 2.872 1.658 1.173
Au 5.745 3.317 0.591
Au 5.745 1.663 2.930
Au 7.177 4.143 2.930
Au 4.313 4.143 2.930
La 0.000 0.000 0.000
```

Computed properties:
Energy relative to the elements, meV per atom: -247
Energy, eV per cell: -32.459
Total magnetic moment, μB per formula unit: 4.87
Space group: F-43m, No. 216

# 10
A geometry-optimized La2NpSi3Au12 structure, computed with GGA-PBE.

Structure (extended XYZ):
```
18
Lattice="-4.896 -5.836 -2.343 3.096 -7.180 1.547 -3.606 -3.434 6.223" Properties=species:S:1:pos:R:3 pbc="T T T"
La -3.227 -9.821 3.240
La -2.179 -6.630 2.187
Np 0.000 0.000 0.000
Si -2.448 -2.918 -1.172
Si 1.548 -3.590 0.773
Si -1.803 -1.717 3.111
Au -3.608 -6.843 5.050
Au -2.972 -12.401 1.824
Au -2.397 -11.331 5.639
Au -4.316 -8.161 0.350
Au -5.957 -10.733 3.906
Au 0.069 -8.898 2.485
Au -1.798 -9.607 0.377
Au -2.434 -4.050 3.603
Au -3.009 -5.120 -0.212
Au -1.091 -8.290 5.076
Au 0.551 -5.718 1.520
Au -5.475 -7.553 2.942
```

Computed properties:
Raw formation energy, eV/atom: -0.111
Energy, eV per cell: -80.385
Total magnetic moment, μB per formula unit: 4.34
Space group: R-3m, No. 166

# 11
A geometry-optimized La2AuO4 structure, computed with GGA-PBE.

Structure (extended XYZ):
```
14
Lattice="5.938 0.000 0.000 0.000 5.392 -2.495 0.000 -0.010 7.053" Properties=species:S:1:pos:R:3 pbc="T T T"
La 0.000 3.536 0.567
La 0.000 1.847 3.991
La 2.969 4.543 2.743
La 2.969 0.840 1.815
Au 0.000 0.000 0.000
Au 2.969 2.696 -1.248
O 4.807 3.718 -1.720
O 4.453 2.745 2.254
O 4.453 0.049 3.502
O 4.100 1.022 -0.473
O 1.838 4.370 -2.022
O 1.484 5.334 1.056
O 1.484 2.638 2.304
O 1.131 1.674 -0.775
```

Computed properties:
Raw formation energy, eV/atom: -2.494
Energy, eV per cell: -100.848
Total magnetic moment, μB per formula unit: 0.00
Space group: Cmce, No. 64
Distance to the lowest polymorph of the same formula, kJ/mol of atoms: 0.0

# 12
A geometry-optimized La4Au2O structure, computed with GGA-PBE.

Structure (extended XYZ):
```
7
Lattice="-0.133 -4.918 0.746 4.839 -0.301 -1.122 4.144 -1.531 7.246" Properties=species:S:1:pos:R:3 pbc="T T T"
Au 6.033 -4.420 5.128
Au 2.818 -2.330 1.741
O 0.000 0.000 0.000
La 5.360 -4.826 2.336
La 3.491 -1.924 4.533
La 2.419 -0.150 -0.561
La -0.066 -2.459 0.373
```

Computed properties:
Raw formation energy, eV/atom: -1.249
Energy, eV per cell: -39.967
Total magnetic moment, μB per formula unit: 0.00
Space group: I4/mmm, No. 139
Distance to the lowest polymorph of the same formula, kJ/mol of atoms: 0.4

# 13
A geometry-optimized La12Au3O5 structure, computed with GGA-PBE.

Structure (extended XYZ):
```
80
Lattice="14.090 0.000 0.000 -4.697 13.284 0.000 -4.697 -6.642 11.504" Properties=species:S:1:pos:R:3 pbc="T T T"
Au 8.219 4.151 1.438
Au 8.219 9.133 1.438
Au -1.174 5.812 7.190
Au 1.174 -0.830 4.314
Au 10.567 0.000 2.876
Au 1.174 6.642 2.876
Au 3.522 0.000 8.628
Au -5.871 6.642 8.628
Au 3.522 7.472 7.190
Au 5.871 0.830 4.314
Au -3.522 -2.491 10.066
Au -3.522 2.491 10.066
O -1.174 3.321 2.876
O -2.348 6.642 0.000
O 0.000 0.000 0.000
O 3.522 2.491 1.438
O 4.697 -3.321 5.752
O 4.697 6.642 0.000
O -3.522 7.472 4.314
O 5.871 -4.151 10.066
O 5.871 5.812 4.314
O 1.174 -3.321 8.628
O 3.522 9.963 2.876
O 2.348 3.321 5.752
O 7.045 0.000 0.000
O -2.348 -3.321 5.752
O -1.174 0.830 7.190
O -1.174 10.793 1.438
O -4.697 3.321 5.752
O 8.219 -0.830 7.190
O 1.174 4.151 10.066
O 5.871 3.321 8.628
La 9.295 1.373 0.179
La 0.099 4.163 4.653
La 10.644 3.186 3.429
La 5.794 1.944 1.278
La 1.804 4.766 7.896
La 10.198 6.674 2.143
La -1.250 7.884 4.708
La -3.446 11.340 1.278
La 0.544 8.518 7.896
La 6.240 6.610 2.143
La 7.143 3.852 4.474
La 7.143 11.911 0.179
La -4.152 5.900 5.932
La 3.153 4.770 1.044
La -4.795 9.432 4.474
La 2.447 -2.479 6.851
La -0.544 1.134 2.323
La 3.153 8.482 1.099
La 5.794 10.098 3.429
La -0.805 4.801 1.099
La -2.893 7.776 9.181
La 3.599 5.400 4.708
La 6.501 7.384 5.932
La 5.501 -1.872 10.460
La 1.098 1.242 6.796
La -1.804 -0.742 5.573
La -0.805 8.514 1.044
La -1.098 -3.456 8.075
La 7.589 -1.134 2.323
La 5.501 1.840 10.405
La 1.543 -1.840 10.405
La 2.250 9.121 4.653
La 5.241 5.508 9.181
La 9.492 -2.790 7.031
La 8.849 0.742 5.573
La -2.447 -5.269 11.325
La 1.543 1.872 10.460
La 4.152 -1.876 3.609
La -1.543 0.032 9.361
La -2.447 2.790 7.031
La 8.143 -4.698 10.226
La 5.947 -1.242 6.796
La -1.098 4.698 10.226
La -5.501 -0.032 9.361
La 2.893 1.876 3.609
La -5.947 3.456 8.075
La 4.598 2.479 6.851
La -4.598 5.269 11.325
```

Computed properties:
Raw formation energy, eV/atom: -1.596
Energy, eV per cell: -502.664
Total magnetic moment, μB per formula unit: 0.02
Space group: Ia-3d, No. 230

# 14
A geometry-optimized LaAuO2 structure, computed with GGA-PBE.

Structure (extended XYZ):
```
4
Lattice="0.000 3.088 3.088 3.088 0.000 3.088 3.088 3.088 0.000" Properties=species:S:1:pos:R:3 pbc="T T T"
Au 3.088 3.088 3.088
O 1.544 1.544 1.544
O 4.632 4.632 4.632
La 0.000 0.000 0.000
```

Computed properties:
Raw formation energy, eV/atom: -1.581
Energy, eV per cell: -24.445
Total magnetic moment, μB per formula unit: 0.00
Space group: Fm-3m, No. 225
Distance to the lowest polymorph of the same formula, kJ/mol of atoms: 60.9

# 15
A geometry-optimized LaAu2O4 structure, computed with GGA-PBE.

Structure (extended XYZ):
```
14
Lattice="0.469 -5.806 -2.188 2.508 -1.830 5.393 -6.274 2.732 0.254" Properties=species:S:1:pos:R:3 pbc="T T T"
La -2.158 -3.446 -0.166
La 1.488 -3.818 1.602
Au -2.453 -0.278 4.636
Au -2.218 -3.181 3.542
Au 0.684 -1.644 4.509
Au -0.570 -0.729 1.812
O 0.076 -5.685 2.748
O -2.465 -0.110 2.531
O -3.312 -1.201 -0.290
O 0.224 -4.452 -0.492
O -3.633 -3.332 1.980
O -4.948 1.384 1.348
O -0.894 -2.813 1.929
O 1.762 -3.409 4.082
```

Computed properties:
Raw formation energy, eV/atom: -1.298
Energy, eV per cell: -80.796
Total magnetic moment, μB per formula unit: 0.53
Space group: I4_1/a, No. 88

# 16
A geometry-optimized La4Au2O structure, computed with GGA-PBE.

Structure (extended XYZ):
```
14
Lattice="-3.423 1.747 -0.594 0.210 -2.033 -7.187 -6.336 -11.382 3.035" Properties=species:S:1:pos:R:3 pbc="T T T"
La -5.024 -10.475 -1.855
La -1.102 -2.940 -2.297
La -4.332 -8.027 1.357
La -1.794 -5.388 -5.508
La -4.982 -6.873 -4.233
La -4.568 -4.796 -0.512
La -1.825 -1.074 -5.369
La -7.724 -10.595 0.624
Au -6.818 -10.528 -4.405
Au -2.732 -1.140 -0.340
Au -5.826 -7.542 -1.337
Au -3.723 -4.126 -3.409
O -3.168 -5.691 1.518
O 0.105 -1.017 -3.593
```

Computed properties:
Raw formation energy, eV/atom: -1.142
Energy, eV per cell: -78.436
Total magnetic moment, μB per formula unit: 0.00
Space group: Pbam, No. 55
Distance to the lowest polymorph of the same formula, kJ/mol of atoms: 10.7

# 17
A geometry-optimized La3Au5O12 structure, computed with GGA-PBE.

Structure (extended XYZ):
```
80
Lattice="-2.643 11.037 -2.571 -4.369 -2.704 10.441 11.565 -1.277 0.185" Properties=species:S:1:pos:R:3 pbc="T T T"
La -2.175 7.104 2.010
La -4.144 7.470 5.604
La 2.960 1.313 6.982
La 3.130 1.942 0.732
La 0.032 9.000 -0.898
La -0.831 2.130 5.608
La 5.383 4.926 2.448
La 4.520 -1.944 8.953
La 1.423 5.114 7.324
La 1.593 5.743 1.073
La 8.697 -0.414 2.451
La 6.728 -0.048 6.045
Au 0.922 0.046 3.640
Au -2.184 -1.352 5.220
Au 0.000 0.000 0.000
Au -0.638 3.303 1.669
Au 4.461 4.880 -1.193
Au -3.506 4.166 3.935
Au 0.730 -1.127 7.579
Au 7.591 6.822 -0.461
Au -0.376 6.109 4.667
Au 7.136 2.843 0.480
Au -2.583 4.213 7.575
Au 2.276 3.528 4.028
Au -1.322 5.518 -1.285
Au 5.782 -0.638 0.093
Au 4.929 0.947 3.389
Au -3.038 0.234 8.516
Au 3.598 -1.990 5.313
Au 3.823 8.183 0.477
Au 5.191 3.753 6.386
Au 3.630 7.010 4.415
O -1.945 7.349 -0.459
O 1.513 1.750 4.851
O -0.713 9.202 1.472
O -0.829 5.258 0.742
O 3.064 3.591 5.976
O -3.237 8.794 3.697
O 0.547 1.036 7.541
O -2.796 -1.703 9.469
O 1.903 3.045 8.629
O -2.497 5.990 4.216
O 0.184 7.091 2.813
O -5.733 6.738 7.379
O 2.847 -1.174 7.100
O -1.932 2.895 3.365
O 0.119 -2.128 9.407
O 5.108 3.607 0.351
O 1.436 0.121 1.531
O -3.091 3.170 5.740
O -2.816 6.372 7.570
O -1.189 0.150 4.137
O 4.055 0.491 9.208
O 0.632 4.241 5.127
O 0.176 7.113 6.512
O 7.122 6.710 1.657
O 3.921 2.815 2.928
O 4.376 -0.057 1.544
O -2.569 0.346 6.399
O 7.369 0.684 0.486
O 0.497 6.565 -1.153
O 5.742 6.906 3.919
O 7.644 3.886 2.316
O -0.555 3.449 7.704
O 3.117 6.936 6.524
O 4.434 9.184 -1.351
O 1.706 8.230 0.956
O 10.286 0.318 0.677
O 6.485 4.161 4.691
O 2.649 4.011 -0.573
O 7.050 1.066 3.839
O 4.368 -0.035 5.242
O 7.349 8.759 -1.414
O 4.006 6.020 0.515
O 5.382 1.798 7.313
O 7.790 -1.738 4.358
O 1.489 3.466 2.079
O 5.266 -2.146 6.584
O 3.039 5.306 3.205
O 6.498 -0.293 8.515
```

Computed properties:
Raw formation energy, eV/atom: -1.125
Energy, eV per cell: -452.675
Total magnetic moment, μB per formula unit: 0.00
Space group: Ia-3d, No. 230